Entry from Alexandria via LeMat-Bulk: PuCrCuO6 after structural relaxation (GGA+U).

Cell and atoms, written as CIF:
```
data_PuCrCuO6
_chemical_formula_sum 'Pu2 Cr2 Cu2 O12'
_cell_length_a 5.198
_cell_length_b 5.198
_cell_length_c 8.945
_cell_angle_alpha 90.00
_cell_angle_beta 90.00
_cell_angle_gamma 120.00
_symmetry_space_group_name_H-M 'P 1'
_symmetry_Int_Tables_number 1
loop_
_symmetry_equiv_pos_as_xyz
'x,y,z'
loop_
_atom_site_label
_atom_site_type_symbol
_atom_site_fract_x
_atom_site_fract_y
_atom_site_fract_z
_atom_site_occupancy
Pu1 Pu 0.333 0.667 0.250 1
Pu2 Pu 0.667 0.333 0.750 1
Cr1 Cr 0.333 0.667 0.750 1
Cr2 Cr 0.667 0.333 0.250 1
Cu1 Cu 0.000 0.000 0.000 1
Cu2 Cu 0.000 0.000 0.500 1
O1 O 0.002 0.345 0.631 1
O2 O 0.002 0.657 0.869 1
O3 O 0.343 0.345 0.869 1
O4 O 0.343 0.998 0.631 1
O5 O 0.345 0.002 0.131 1
O6 O 0.345 0.343 0.369 1
O7 O 0.655 0.657 0.631 1
O8 O 0.655 0.998 0.869 1
O9 O 0.657 0.002 0.369 1
O10 O 0.657 0.655 0.131 1
O11 O 0.998 0.343 0.131 1
O12 O 0.998 0.655 0.369 1
```

## Properties
* electronic total energy: -7.880 eV/atom
* space-group type: P-31c
* magnetization: 0.991 μB/f.u.